A plane-wave DFT calculation with GGA-PBE was carried out for a relaxed NaVCr3 crystal.

Unit cell a=4.6321 b=4.6321 c=4.6321 alpha=90.00 beta=90.00 gamma=90.00
Closest atoms and distances in Å follow each position.
Fractional positions:
Na (0.0000, 0.0000, 0.0000)  12 Cr 3.28
V (0.5000, 0.5000, 0.5000)  6 Cr 2.32
Cr (0.0000, 0.5000, 0.5000)  2 V 2.32
Cr (0.5000, 0.0000, 0.5000)  2 V 2.32
Cr (0.5000, 0.5000, 0.0000)  2 V 2.32

Properties
For the energy above the most stable polymorph in this dataset, the calculation gives 0.000 eV per atom. The symmetry is Pm-3m. As for the density of states at the Fermi level: 1.413 states/eV per atom. The value obtained for the formation energy is 1.23 eV/atom.